Entry i
{
  "formula": "ZnCr2Te",
  "functional": "PBE",
  "state": "optimized geometry",
  "lattice": [[-1.357, -4.272, 0.288], [1.861, -3.669, 1.802], [-2.178, -0.410, 4.792]],
  "species": ["Zn", "Cr", "Te", "Cr"],
  "frac_coords": [[0.250, 0.250, 0.250], [0.500, 0.500, 0.477], [0.750, 0.750, 0.750], [0.000, 0.000, 0.023]]
}

=====

Entry ii
{
  "formula": "ZnCr2Te",
  "functional": "PBE",
  "state": "optimized geometry",
  "lattice": [[-2.254, -2.771, 1.421], [3.110, -2.098, 0.841], [0.827, 1.436, 9.309]],
  "species": ["Cr", "Te", "Cr", "Zn", "Cr", "Zn", "Te", "Cr"],
  "frac_coords": [[0.549, 0.125, 0.250], [0.750, 0.250, 0.500], [0.875, 0.799, 0.750], [0.500, 0.500, 0.000], [0.375, 0.451, 0.750], [0.250, 0.750, 0.500], [0.000, 0.000, 0.000], [0.201, 0.625, 0.250]]
}

=====

Relative energies, unit eV/atom: entry i 0.000; entry ii 0.227

=====

Entry i
{
  "formula": "ZnCr2Te",
  "functional": "PBE",
  "state": "optimized geometry",
  "lattice": [[0.000, 3.134, 3.134], [3.134, 0.000, 3.134], [3.134, 3.134, 0.000]],
  "species": ["Te", "Cr", "Zn", "Cr"],
  "frac_coords": [[0.500, 0.500, 0.500], [0.250, 0.250, 0.250], [0.000, 0.000, 0.000], [0.750, 0.750, 0.750]]
}

=====

Entry ii
{
  "formula": "ZnCr2Te",
  "functional": "PBE",
  "state": "optimized geometry",
  "lattice": [[-2.934, -5.957, 3.287], [-3.643, -6.451, -0.127], [-0.475, -7.303, 1.154]],
  "species": ["Zn", "Cr", "Cr", "Te"],
  "frac_coords": [[0.750, 0.750, 0.750], [0.003, 0.003, 0.003], [0.497, 0.497, 0.497], [0.250, 0.250, 0.250]]
}

=====

Entry iii
{
  "formula": "ZnCr2Te",
  "functional": "PBE",
  "state": "optimized geometry",
  "lattice": [[3.056, 0.000, 0.000], [0.000, 3.056, 0.000], [0.000, 0.000, 7.631]],
  "species": ["Zn", "Te", "Cr", "Cr"],
  "frac_coords": [[0.500, 0.500, 0.845], [0.000, 0.000, 0.414], [0.500, 0.500, 0.199], [0.000, 0.000, 0.041]]
}

=====

Relative energies, unit eV/atom: entry i 0.156; entry ii 0.170; entry iii 0.000

=====

Entry i
{
  "formula": "ZnCr2Te",
  "functional": "PBE",
  "state": "optimized geometry",
  "lattice": [[4.639, 0.000, 0.000], [2.320, 4.018, 0.000], [2.320, 1.339, 3.788]],
  "species": ["Te", "Zn", "Cr", "Cr"],
  "frac_coords": [[0.500, 0.500, 0.500], [0.750, 0.750, 0.750], [0.250, 0.250, 0.250], [0.000, 0.000, 0.000]]
}

=====

Entry ii
{
  "formula": "ZnCr2Te",
  "functional": "PBE",
  "state": "optimized geometry",
  "lattice": [[-1.907, 1.248, -4.924], [-5.328, -0.369, -0.956], [3.302, 2.171, 3.718]],
  "species": ["Cr", "Te", "Zn", "Cr"],
  "frac_coords": [[0.999, 0.999, 0.000], [0.501, 0.501, 0.000], [0.251, 0.751, 0.500], [0.749, 0.249, 0.500]]
}

=====

Relative energies, unit eV/atom: entry i 0.018; entry ii 0.000

=====

Entry i
{
  "formula": "ThTi2Cr",
  "functional": "PBE",
  "state": "optimized geometry",
  "lattice": [[-0.244, 2.675, -1.669], [-2.866, -0.886, -1.000], [-3.189, 3.484, 6.049]],
  "species": ["Ti", "Cr", "Th", "Ti"],
  "frac_coords": [[0.000, 0.000, 0.820], [0.500, 0.500, 0.000], [0.500, 0.500, 0.500], [0.000, 0.000, 0.180]]
}

=====

Entry ii
{
  "formula": "ThTi2Cr",
  "functional": "PBE",
  "state": "optimized geometry",
  "lattice": [[-2.856, -0.653, 0.914], [-1.637, -2.130, -1.483], [1.933, -7.674, 5.712]],
  "species": ["Ti", "Cr", "Th", "Ti"],
  "frac_coords": [[0.104, 0.104, 0.687], [0.500, 0.500, 0.500], [0.000, 0.000, 0.000], [0.896, 0.896, 0.313]]
}

=====

Relative energies, unit eV/atom: entry i 0.000; entry ii 0.320

=====

Entry i
{
  "formula": "TiCr2",
  "functional": "PBE",
  "state": "optimized geometry",
  "lattice": [[-4.079, -2.663, 0.391], [1.835, 1.027, -4.412], [4.287, -6.526, 0.264]],
  "species": ["Cr", "Ti", "Cr", "Cr", "Cr", "Cr", "Cr", "Ti", "Ti", "Cr", "Ti", "Cr"],
  "frac_coords": [[0.660, 0.830, 0.750], [0.333, 0.667, 0.061], [0.830, 0.660, 0.250], [0.000, 0.000, 0.000], [0.830, 0.170, 0.250], [0.170, 0.340, 0.750], [0.170, 0.830, 0.750], [0.667, 0.333, 0.939], [0.333, 0.667, 0.439], [0.000, 0.000, 0.500], [0.667, 0.333, 0.561], [0.340, 0.170, 0.250]]
}

=====

Entry ii
{
  "formula": "TiCr2",
  "functional": "PBE",
  "state": "optimized geometry",
  "lattice": [[2.431, -4.210, 0.000], [2.431, 4.210, 0.000], [0.000, 0.000, 15.765]],
  "species": ["Cr", "Cr", "Ti", "Ti", "Cr", "Cr", "Cr", "Cr", "Ti", "Cr", "Cr", "Ti", "Cr", "Cr", "Cr", "Cr", "Ti", "Ti", "Cr", "Cr", "Ti", "Cr", "Cr", "Ti"],
  "frac_coords": [[0.333, 0.667, 0.124], [0.837, 0.163, 0.750], [0.667, 0.333, 0.157], [0.333, 0.667, 0.843], [0.327, 0.163, 0.750], [0.500, 0.500, 0.500], [0.163, 0.327, 0.250], [0.333, 0.667, 0.376], [0.333, 0.667, 0.657], [0.667, 0.333, 0.876], [0.163, 0.837, 0.250], [0.667, 0.333, 0.343], [0.500, 0.500, 0.000], [0.000, 0.500, 0.500], [0.000, 0.500, 0.000], [0.500, 0.000, 0.000], [0.000, 0.000, 0.905], [0.000, 0.000, 0.595], [0.667, 0.333, 0.624], [0.673, 0.837, 0.250], [0.000, 0.000, 0.405], [0.500, 0.000, 0.500], [0.837, 0.673, 0.750], [0.000, 0.000, 0.095]]
}

=====

Relative energies, unit eV/atom: entry i 0.015; entry ii 0.000

=====

Entry i
{
  "formula": "TiCr2",
  "functional": "PBE",
  "state": "optimized geometry",
  "lattice": [[-4.336, 1.323, 1.720], [-3.774, 0.433, -3.013], [-3.624, -3.217, 0.175]],
  "species": ["Ti", "Ti", "Cr", "Cr", "Cr", "Cr"],
  "frac_coords": [[0.750, 0.750, 0.750], [0.500, 0.500, 0.500], [0.125, 0.125, 0.625], [0.625, 0.125, 0.125], [0.125, 0.125, 0.125], [0.125, 0.625, 0.125]]
}

=====

Entry ii
{
  "formula": "TiCr2",
  "functional": "PBE",
  "state": "optimized geometry",
  "lattice": [[-2.679, -0.734, 0.923], [-0.564, -1.214, -2.603], [3.242, -3.032, 2.358]],
  "species": ["Cr", "Cr", "Ti"],
  "frac_coords": [[0.320, 0.320, 0.639], [0.680, 0.680, 0.361], [0.000, 0.000, 0.000]]
}

=====

Relative energies, unit eV/atom: entry i 0.000; entry ii 0.095